1 | Here is an optimized crystal structure of Tl2SnSe from Alexandria via LeMat-Bulk. Energies are from PBE.

Calculated values
symmetry = I-42d
volume = 299.4 Å³/cell
magnetic moment = 0.00 μB/f.u.

a = 8.2469 Å, b = 8.2469 Å, c = 8.2469 Å
α = 132.47°, β = 132.47°, γ = 69.49°
Last column: nearest neighbours and their distance in Å.
Atoms (fractional coordinates):
Tl: 0.1230 0.6250 0.9980  2 Se 2.89, 2 Sn 2.90
Tl: 0.3750 0.3730 0.4980  2 Se 2.89, 2 Sn 2.90
Tl: 0.6270 0.1250 0.0020  2 Se 2.89, 2 Sn 2.90
Tl: 0.8750 0.8770 0.5020  2 Se 2.89, 2 Sn 2.90
Sn: 0.2500 0.7500 0.5000  4 Tl 2.90
Sn: 0.5000 0.5000 0.0000  4 Tl 2.90
Se: 0.0000 0.0000 0.0000  4 Tl 2.89
Se: 0.7500 0.2500 0.5000  4 Tl 2.89

2 | Here is an optimized crystal structure of Tl2SnSe from Alexandria via LeMat-Bulk. Energies are from PBE.

Calculated values
symmetry = Fm-3m
volume = 113.3 Å³/cell
magnetic moment = 0.00 μB/f.u.

a = 5.4318 Å, b = 5.4318 Å, c = 5.4318 Å
α = 60.00°, β = 60.00°, γ = 60.00°
Last column: nearest neighbours and their distance in Å.
Atoms (fractional coordinates):
Tl: 0.2500 0.2500 0.2500  4 Se 3.33, 4 Sn 3.33
Tl: 0.7500 0.7500 0.7500  4 Se 3.33, 4 Sn 3.33
Sn: 0.0000 0.0000 0.0000  8 Tl 3.33
Se: 0.5000 0.5000 0.5000  8 Tl 3.33

Winner for stability: 1

1 | Here is an optimized crystal structure of Tl2SnSe4 from Alexandria via LeMat-Bulk. Energies are from PBE.

Calculated values
symmetry = Ama2
volume = 478.2 Å³/cell
magnetic moment = 0.00 μB/f.u.

a = 11.8393 Å, b = 6.7705 Å, c = 6.7705 Å
α = 118.22°, β = 90.00°, γ = 90.00°
Last column: nearest neighbours and their distance in Å.
Atoms (fractional coordinates):
Tl: 0.0000 0.0000 0.0000  8 Se 3.46-3.58
Tl: 0.2500 0.7242 0.4136  4 Se 2.63-2.80
Tl: 0.5000 0.0000 0.0000  8 Se 3.46-3.58
Tl: 0.7500 0.4136 0.7242  4 Se 2.63-2.80
Sn: 0.2500 0.2956 0.7249  4 Se 2.53-2.61
Sn: 0.7500 0.7249 0.2956  4 Se 2.53-2.61
Se: 0.0829 0.0364 0.5094  1 Sn 2.59, 1 Tl 2.74
Se: 0.2500 0.2977 0.1114  1 Sn 2.61, 1 Tl 2.63
Se: 0.2500 0.7039 0.8164  1 Sn 2.53, 1 Tl 2.80
Se: 0.4171 0.0364 0.5094  1 Sn 2.59, 1 Tl 2.74
Se: 0.5829 0.5094 0.0364  1 Sn 2.59, 1 Tl 2.74
Se: 0.7500 0.1114 0.2977  1 Sn 2.61, 1 Tl 2.63
Se: 0.7500 0.8164 0.7039  1 Sn 2.53, 1 Tl 2.80
Se: 0.9171 0.5094 0.0364  1 Sn 2.59, 1 Tl 2.74

2 | Here is an optimized crystal structure of Tl2SnSe4 from Alexandria via LeMat-Bulk. Energies are from PBE.

Calculated values
symmetry = P2/m
volume = 231.9 Å³/cell
magnetic moment = 0.00 μB/f.u.

a = 6.7939 Å, b = 3.9693 Å, c = 8.9628 Å
α = 90.00°, β = 106.41°, γ = 90.00°
Last column: nearest neighbours and their distance in Å.
Atoms (fractional coordinates):
Tl: 0.1647 0.0000 0.3576  3 Se 3.01-3.08
Tl: 0.8353 0.0000 0.6424  3 Se 3.01-3.08
Sn: 0.5000 0.5000 0.0000  6 Se 2.75-2.82
Se: 0.0682 0.5000 0.8934  1 Se 2.35
Se: 0.4818 0.0000 0.7835  2 Sn 2.75, 1 Tl 3.01
Se: 0.5182 0.0000 0.2165  2 Sn 2.75, 1 Tl 3.01
Se: 0.9318 0.5000 0.1066  1 Se 2.35

Winner for stability: 1